Ho6Zn5Sn after structural relaxation, computed with PBE.

Output
space-group type: Immm, No. 71
uncorrected energy: -3.5563 eV/atom
volume: 277 Å³ per cell
M_tot: 0.000 μB/cell

The structure in CIF format:
```
data_Ho6Zn5Sn
_chemical_formula_sum 'Ho6 Zn5 Sn1'
_space_group_name_H-M_alt 'P 1'
_space_group_IT_number 1
_cell_length_a 5.0675
_cell_length_b 7.1720
_cell_length_c 8.8026
_cell_angle_alpha 114.04
_cell_angle_beta 106.73
_cell_angle_gamma 90.00
loop_
_space_group_symop_operation_xyz
'x,y,z'
loop_
_atom_site_label
_atom_site_type_symbol
_atom_site_fract_x
_atom_site_fract_y
_atom_site_fract_z
Ho1 Ho 0.8296 0.0845 0.6592
Zn1 Zn 0.6699 0.1699 0.3397
Zn2 Zn 0.3301 0.8301 0.6603
Ho2 Ho 0.5000 0.7402 0.0000
Ho3 Ho 0.8296 0.5747 0.6592
Zn3 Zn 0.3322 0.3322 0.6643
Ho4 Ho 0.5000 0.2598 0.0000
Ho5 Ho 0.1704 0.9155 0.3408
Zn4 Zn 0.0000 0.5000 0.0000
Ho6 Ho 0.1704 0.4253 0.3408
Sn1 Sn 0.0000 0.0000 0.0000
Zn5 Zn 0.6678 0.6678 0.3357
```